1.
First-principles (PBE) data for an optimized crystal structure of ZnGaP, as listed in Alexandria.

Unit cell a=8.9280 b=8.9280 c=8.9280 alpha=25.29 beta=25.29 gamma=25.29
With the nearest neighbours (Å) after each atom.
Fractional positions:
1 Zn 0.1343 0.1343 0.1343  4 P 2.43-2.58
2 Zn 0.8657 0.8657 0.8657  4 P 2.43-2.58
3 Ga 0.3712 0.3712 0.3712  3 P 2.76, 3 Ga 2.99
4 Ga 0.6288 0.6288 0.6288  3 P 2.76, 3 Ga 2.99
5 P 0.2339 0.2339 0.2339  4 Zn 2.43-2.58
6 P 0.7661 0.7661 0.7661  4 Zn 2.43-2.58

Computed properties:
DFT total energy = -3.273 eV/atom
space group = R-3m (166)



2.
First-principles (PBE) data for an optimized crystal structure of Zn3Ga12P5, as listed in Alexandria.

Unit cell a=12.7663 b=12.7663 c=12.7663 alpha=109.47 beta=109.47 gamma=109.47
With the nearest neighbours (Å) after each atom.
Fractional positions:
1 Zn 0.1250 0.2500 0.3750  8 Ga 2.55-2.86
2 Zn 0.1250 0.3750 0.7500  8 Ga 2.55-2.86
3 Zn 0.2500 0.3750 0.1250  8 Ga 2.55-2.86
4 Zn 0.2500 0.8750 0.6250  8 Ga 2.55-2.86
5 Zn 0.3750 0.1250 0.2500  8 Ga 2.55-2.86
6 Zn 0.3750 0.7500 0.1250  8 Ga 2.55-2.86
7 Zn 0.6250 0.2500 0.8750  8 Ga 2.55-2.86
8 Zn 0.6250 0.8750 0.7500  8 Ga 2.55-2.86
9 Zn 0.7500 0.1250 0.3750  8 Ga 2.55-2.86
10 Zn 0.7500 0.6250 0.8750  8 Ga 2.55-2.86
11 Zn 0.8750 0.6250 0.2500  8 Ga 2.55-2.86
12 Zn 0.8750 0.7500 0.6250  8 Ga 2.55-2.86
13 Ga 0.0585 0.2326 0.1304  2 P 2.41-2.56, 1 Zn 2.55
14 Ga 0.0585 0.3259 0.9281  2 P 2.41-2.56, 1 Zn 2.55
15 Ga 0.0719 0.6304 0.3978  2 P 2.41-2.56, 1 Zn 2.55
16 Ga 0.0719 0.9415 0.6741  2 P 2.41-2.56, 1 Zn 2.55
17 Ga 0.1022 0.7326 0.6741  2 P 2.41-2.56, 1 Zn 2.55
18 Ga 0.1022 0.8696 0.4281  2 P 2.41-2.56, 1 Zn 2.55
19 Ga 0.1304 0.0585 0.2326  2 P 2.41-2.56, 1 Zn 2.55
20 Ga 0.1304 0.5719 0.8978  2 P 2.41-2.56, 1 Zn 2.55
21 Ga 0.1741 0.2326 0.6022  2 P 2.41-2.56, 1 Zn 2.55
22 Ga 0.1741 0.4415 0.5719  2 P 2.41-2.56, 1 Zn 2.55
23 Ga 0.2326 0.1304 0.0585  2 P 2.41-2.56, 1 Zn 2.55
24 Ga 0.2326 0.6022 0.1741  2 P 2.41-2.56, 1 Zn 2.55
25 Ga 0.2674 0.3259 0.8978  2 P 2.41-2.56, 1 Zn 2.55
26 Ga 0.2674 0.4415 0.3696  2 P 2.41-2.56, 1 Zn 2.55
27 Ga 0.3259 0.8978 0.2674  2 P 2.41-2.56, 1 Zn 2.55
28 Ga 0.3259 0.9281 0.0585  2 P 2.41-2.56, 1 Zn 2.55
29 Ga 0.3696 0.2674 0.4415  2 P 2.41-2.56, 1 Zn 2.55
30 Ga 0.3696 0.6022 0.9281  2 P 2.41-2.56, 1 Zn 2.55
31 Ga 0.3978 0.0719 0.6304  2 P 2.41-2.56, 1 Zn 2.55
32 Ga 0.3978 0.8259 0.7674  2 P 2.41-2.56, 1 Zn 2.55
33 Ga 0.4281 0.1022 0.8696  2 P 2.41-2.56, 1 Zn 2.55
34 Ga 0.4281 0.8259 0.5585  2 P 2.41-2.56, 1 Zn 2.55
35 Ga 0.4415 0.3696 0.2674  2 P 2.41-2.56, 1 Zn 2.55
36 Ga 0.4415 0.5719 0.1741  2 P 2.41-2.56, 1 Zn 2.55
37 Ga 0.5585 0.4281 0.8259  2 P 2.41-2.56, 1 Zn 2.55
38 Ga 0.5585 0.6304 0.7326  2 P 2.41-2.56, 1 Zn 2.55
39 Ga 0.5719 0.1741 0.4415  2 P 2.41-2.56, 1 Zn 2.55
40 Ga 0.5719 0.8978 0.1304  2 P 2.41-2.56, 1 Zn 2.55
41 Ga 0.6022 0.1741 0.2326  2 P 2.41-2.56, 1 Zn 2.55
42 Ga 0.6022 0.9281 0.3696  2 P 2.41-2.56, 1 Zn 2.55
43 Ga 0.6304 0.3978 0.0719  2 P 2.41-2.56, 1 Zn 2.55
44 Ga 0.6304 0.7326 0.5585  2 P 2.41-2.56, 1 Zn 2.55
45 Ga 0.6741 0.0719 0.9415  2 P 2.41-2.56, 1 Zn 2.55
46 Ga 0.6741 0.1022 0.7326  2 P 2.41-2.56, 1 Zn 2.55
47 Ga 0.7326 0.5585 0.6304  2 P 2.41-2.56, 1 Zn 2.55
48 Ga 0.7326 0.6741 0.1022  2 P 2.41-2.56, 1 Zn 2.55
49 Ga 0.7674 0.3978 0.8259  2 P 2.41-2.56, 1 Zn 2.55
50 Ga 0.7674 0.8696 0.9415  2 P 2.41-2.56, 1 Zn 2.55
51 Ga 0.8259 0.5585 0.4281  2 P 2.41-2.56, 1 Zn 2.55
52 Ga 0.8259 0.7674 0.3978  2 P 2.41-2.56, 1 Zn 2.55
53 Ga 0.8696 0.4281 0.1022  2 P 2.41-2.56, 1 Zn 2.55
54 Ga 0.8696 0.9415 0.7674  2 P 2.41-2.56, 1 Zn 2.55
55 Ga 0.8978 0.1304 0.5719  2 P 2.41-2.56, 1 Zn 2.55
56 Ga 0.8978 0.2674 0.3259  2 P 2.41-2.56, 1 Zn 2.55
57 Ga 0.9281 0.0585 0.3259  2 P 2.41-2.56, 1 Zn 2.55
58 Ga 0.9281 0.3696 0.6022  2 P 2.41-2.56, 1 Zn 2.55
59 Ga 0.9415 0.6741 0.0719  2 P 2.41-2.56, 1 Zn 2.55
60 Ga 0.9415 0.7674 0.8696  2 P 2.41-2.56, 1 Zn 2.55
61 P 0.0000 0.0000 0.0000  6 Ga 2.56
62 P 0.0000 0.0000 0.5000  6 Ga 2.56
63 P 0.0000 0.5000 0.0000  6 Ga 2.56
64 P 0.0000 0.5000 0.5000  6 Ga 2.56
65 P 0.1250 0.7500 0.8750  4 Ga 2.41
66 P 0.1250 0.8750 0.2500  4 Ga 2.41
67 P 0.2500 0.1250 0.8750  4 Ga 2.41
68 P 0.2500 0.6250 0.3750  4 Ga 2.41
69 P 0.3750 0.2500 0.6250  4 Ga 2.41
70 P 0.3750 0.6250 0.7500  4 Ga 2.41
71 P 0.5000 0.0000 0.0000  6 Ga 2.56
72 P 0.5000 0.0000 0.5000  6 Ga 2.56
73 P 0.5000 0.5000 0.0000  6 Ga 2.56
74 P 0.5000 0.5000 0.5000  6 Ga 2.56
75 P 0.6250 0.3750 0.2500  4 Ga 2.41
76 P 0.6250 0.7500 0.3750  4 Ga 2.41
77 P 0.7500 0.3750 0.6250  4 Ga 2.41
78 P 0.7500 0.8750 0.1250  4 Ga 2.41
79 P 0.8750 0.1250 0.7500  4 Ga 2.41
80 P 0.8750 0.2500 0.1250  4 Ga 2.41

Computed properties:
DFT total energy = -3.338 eV/atom
space group = Ia-3d (230)



3.
First-principles (PBE) data for an optimized crystal structure of Zn5Ga12P3, as listed in Alexandria.

Unit cell a=13.0183 b=13.0183 c=13.0183 alpha=109.47 beta=109.47 gamma=109.47
With the nearest neighbours (Å) after each atom.
Fractional positions:
1 Zn 0.0000 0.0000 0.0000  6 Ga 2.58
2 Zn 0.0000 0.0000 0.5000  6 Ga 2.58
3 Zn 0.0000 0.5000 0.0000  6 Ga 2.58
4 Zn 0.0000 0.5000 0.5000  6 Ga 2.58
5 Zn 0.1250 0.7500 0.8750  4 Ga 2.51
6 Zn 0.1250 0.8750 0.2500  4 Ga 2.51
7 Zn 0.2500 0.1250 0.8750  4 Ga 2.51
8 Zn 0.2500 0.6250 0.3750  4 Ga 2.51
9 Zn 0.3750 0.2500 0.6250  4 Ga 2.51
10 Zn 0.3750 0.6250 0.7500  4 Ga 2.51
11 Zn 0.5000 0.0000 0.0000  6 Ga 2.58
12 Zn 0.5000 0.0000 0.5000  6 Ga 2.58
13 Zn 0.5000 0.5000 0.0000  6 Ga 2.58
14 Zn 0.5000 0.5000 0.5000  6 Ga 2.58
15 Zn 0.6250 0.3750 0.2500  4 Ga 2.51
16 Zn 0.6250 0.7500 0.3750  4 Ga 2.51
17 Zn 0.7500 0.3750 0.6250  4 Ga 2.51
18 Zn 0.7500 0.8750 0.1250  4 Ga 2.51
19 Zn 0.8750 0.1250 0.7500  4 Ga 2.51
20 Zn 0.8750 0.2500 0.1250  4 Ga 2.51
21 Ga 0.0618 0.2313 0.1298  2 Zn 2.51-2.58, 1 P 2.58
22 Ga 0.0618 0.3305 0.9320  2 Zn 2.51-2.58, 1 P 2.58
23 Ga 0.0680 0.6298 0.3985  2 Zn 2.51-2.58, 1 P 2.58
24 Ga 0.0680 0.9382 0.6695  2 Zn 2.51-2.58, 1 P 2.58
25 Ga 0.1015 0.7313 0.6695  2 Zn 2.51-2.58, 1 P 2.58
26 Ga 0.1015 0.8702 0.4320  2 Zn 2.51-2.58, 1 P 2.58
27 Ga 0.1298 0.0618 0.2313  2 Zn 2.51-2.58, 1 P 2.58
28 Ga 0.1298 0.5680 0.8985  2 Zn 2.51-2.58, 1 P 2.58
29 Ga 0.1695 0.2313 0.6015  2 Zn 2.51-2.58, 1 P 2.58
30 Ga 0.1695 0.4382 0.5680  2 Zn 2.51-2.58, 1 P 2.58
31 Ga 0.2313 0.1298 0.0618  2 Zn 2.51-2.58, 1 P 2.58
32 Ga 0.2313 0.6015 0.1695  2 Zn 2.51-2.58, 1 P 2.58
33 Ga 0.2687 0.3305 0.8985  2 Zn 2.51-2.58, 1 P 2.58
34 Ga 0.2687 0.4382 0.3702  2 Zn 2.51-2.58, 1 P 2.58
35 Ga 0.3305 0.8985 0.2687  2 Zn 2.51-2.58, 1 P 2.58
36 Ga 0.3305 0.9320 0.0618  2 Zn 2.51-2.58, 1 P 2.58
37 Ga 0.3702 0.2687 0.4382  2 Zn 2.51-2.58, 1 P 2.58
38 Ga 0.3702 0.6015 0.9320  2 Zn 2.51-2.58, 1 P 2.58
39 Ga 0.3985 0.0680 0.6298  2 Zn 2.51-2.58, 1 P 2.58
40 Ga 0.3985 0.8305 0.7687  2 Zn 2.51-2.58, 1 P 2.58
41 Ga 0.4320 0.1015 0.8702  2 Zn 2.51-2.58, 1 P 2.58
42 Ga 0.4320 0.8305 0.5618  2 Zn 2.51-2.58, 1 P 2.58
43 Ga 0.4382 0.3702 0.2687  2 Zn 2.51-2.58, 1 P 2.58
44 Ga 0.4382 0.5680 0.1695  2 Zn 2.51-2.58, 1 P 2.58
45 Ga 0.5618 0.4320 0.8305  2 Zn 2.51-2.58, 1 P 2.58
46 Ga 0.5618 0.6298 0.7313  2 Zn 2.51-2.58, 1 P 2.58
47 Ga 0.5680 0.1695 0.4382  2 Zn 2.51-2.58, 1 P 2.58
48 Ga 0.5680 0.8985 0.1298  2 Zn 2.51-2.58, 1 P 2.58
49 Ga 0.6015 0.1695 0.2313  2 Zn 2.51-2.58, 1 P 2.58
50 Ga 0.6015 0.9320 0.3702  2 Zn 2.51-2.58, 1 P 2.58
51 Ga 0.6298 0.3985 0.0680  2 Zn 2.51-2.58, 1 P 2.58
52 Ga 0.6298 0.7313 0.5618  2 Zn 2.51-2.58, 1 P 2.58
53 Ga 0.6695 0.0680 0.9382  2 Zn 2.51-2.58, 1 P 2.58
54 Ga 0.6695 0.1015 0.7313  2 Zn 2.51-2.58, 1 P 2.58
55 Ga 0.7313 0.5618 0.6298  2 Zn 2.51-2.58, 1 P 2.58
56 Ga 0.7313 0.6695 0.1015  2 Zn 2.51-2.58, 1 P 2.58
57 Ga 0.7687 0.3985 0.8305  2 Zn 2.51-2.58, 1 P 2.58
58 Ga 0.7687 0.8702 0.9382  2 Zn 2.51-2.58, 1 P 2.58
59 Ga 0.8305 0.5618 0.4320  2 Zn 2.51-2.58, 1 P 2.58
60 Ga 0.8305 0.7687 0.3985  2 Zn 2.51-2.58, 1 P 2.58
61 Ga 0.8702 0.4320 0.1015  2 Zn 2.51-2.58, 1 P 2.58
62 Ga 0.8702 0.9382 0.7687  2 Zn 2.51-2.58, 1 P 2.58
63 Ga 0.8985 0.1298 0.5680  2 Zn 2.51-2.58, 1 P 2.58
64 Ga 0.8985 0.2687 0.3305  2 Zn 2.51-2.58, 1 P 2.58
65 Ga 0.9320 0.0618 0.3305  2 Zn 2.51-2.58, 1 P 2.58
66 Ga 0.9320 0.3702 0.6015  2 Zn 2.51-2.58, 1 P 2.58
67 Ga 0.9382 0.6695 0.0680  2 Zn 2.51-2.58, 1 P 2.58
68 Ga 0.9382 0.7687 0.8702  2 Zn 2.51-2.58, 1 P 2.58
69 P 0.1250 0.2500 0.3750  4 Ga 2.58
70 P 0.1250 0.3750 0.7500  4 Ga 2.58
71 P 0.2500 0.3750 0.1250  4 Ga 2.58
72 P 0.2500 0.8750 0.6250  4 Ga 2.58
73 P 0.3750 0.1250 0.2500  4 Ga 2.58
74 P 0.3750 0.7500 0.1250  4 Ga 2.58
75 P 0.6250 0.2500 0.8750  4 Ga 2.58
76 P 0.6250 0.8750 0.7500  4 Ga 2.58
77 P 0.7500 0.1250 0.3750  4 Ga 2.58
78 P 0.7500 0.6250 0.8750  4 Ga 2.58
79 P 0.8750 0.6250 0.2500  4 Ga 2.58
80 P 0.8750 0.7500 0.6250  4 Ga 2.58

Computed properties:
DFT total energy = -2.785 eV/atom
space group = Ia-3d (230)



4.
First-principles (PBE) data for an optimized crystal structure of ZnGaP3, as listed in Alexandria.

Unit cell a=4.6826 b=4.6826 c=4.6826 alpha=90.00 beta=90.00 gamma=90.00
With the nearest neighbours (Å) after each atom.
Fractional positions:
1 Zn 0.0000 0.0000 0.0000  6 P 2.34
2 Ga 0.5000 0.5000 0.5000  12 P 3.31
3 P 0.0000 0.0000 0.5000  2 Zn 2.34
4 P 0.0000 0.5000 0.0000  2 Zn 2.34
5 P 0.5000 0.0000 0.0000  2 Zn 2.34

Computed properties:
distance to the lowest polymorph of the same formula = 0.000 eV/f.u.
DFT total energy = -3.181 eV/atom
space group = Pm-3m (221)



5.
First-principles (PBE) data for an optimized crystal structure of ZrGaP3, as listed in Alexandria.

Unit cell a=4.6151 b=4.6151 c=4.6151 alpha=90.00 beta=90.00 gamma=90.00
With the nearest neighbours (Å) after each atom.
Fractional positions:
1 Zr 0.0000 0.0000 0.0000  12 P 3.26
2 Ga 0.5000 0.5000 0.5000  6 P 2.31
3 P 0.0000 0.5000 0.5000  2 Ga 2.31
4 P 0.5000 0.0000 0.5000  2 Ga 2.31
5 P 0.5000 0.5000 0.0000  2 Ga 2.31

Computed properties:
distance to the lowest polymorph of the same formula = 1.125 eV/f.u.
DFT total energy = -4.998 eV/atom
space group = Pm-3m (221)



6.
First-principles (PBE) data for an optimized crystal structure of Zr2Ga2P, as listed in Alexandria.

Unit cell a=6.8634 b=6.8634 c=4.2162 alpha=90.00 beta=90.00 gamma=90.00
With the nearest neighbours (Å) after each atom.
Fractional positions:
1 Zr 0.1704 0.3296 0.0000  2 P 2.55, 2 Ga 2.81
2 Zr 0.3296 0.8296 0.0000  2 P 2.55, 2 Ga 2.81
3 Zr 0.6704 0.1704 0.0000  2 P 2.55, 2 Ga 2.81
4 Zr 0.8296 0.6704 0.0000  2 P 2.55, 2 Ga 2.81
5 Ga 0.1379 0.6379 0.5000  1 Ga 2.68, 6 Zr 2.81-2.99
6 Ga 0.3621 0.1379 0.5000  1 Ga 2.68, 6 Zr 2.81-2.99
7 Ga 0.6379 0.8621 0.5000  1 Ga 2.68, 6 Zr 2.81-2.99
8 Ga 0.8621 0.3621 0.5000  1 Ga 2.68, 6 Zr 2.81-2.99
9 P 0.0000 0.0000 0.0000  4 Zr 2.55
10 P 0.5000 0.5000 0.0000  4 Zr 2.55

Computed properties:
DFT total energy = -6.374 eV/atom
space group = P4/mbm (127)



7.
First-principles (PBE) data for an optimized crystal structure of Zr6Ga3P, as listed in Alexandria.

Unit cell a=5.5441 b=7.5946 c=11.2438 alpha=90.00 beta=119.50 gamma=90.00
With the nearest neighbours (Å) after each atom.
Fractional positions:
1 Zr 0.0326 0.1812 0.4314  1 P 2.57, 3 Ga 2.69-2.88
2 Zr 0.0326 0.3188 0.9314  1 P 2.57, 3 Ga 2.69-2.88
3 Zr 0.3173 0.6644 0.4288  1 P 2.58, 3 Ga 2.71-2.86
4 Zr 0.3173 0.8356 0.9288  1 P 2.58, 3 Ga 2.71-2.86
5 Zr 0.3832 0.0325 0.2423  1 P 2.51, 1 Ga 2.65
6 Zr 0.3832 0.4675 0.7423  1 P 2.51, 1 Ga 2.65
7 Zr 0.6168 0.5325 0.2577  1 P 2.51, 1 Ga 2.65
8 Zr 0.6168 0.9675 0.7577  1 P 2.51, 1 Ga 2.65
9 Zr 0.6827 0.1644 0.0712  1 P 2.58, 3 Ga 2.71-2.86
10 Zr 0.6827 0.3356 0.5712  1 P 2.58, 3 Ga 2.71-2.86
11 Zr 0.9674 0.6812 0.0686  1 P 2.57, 3 Ga 2.69-2.88
12 Zr 0.9674 0.8188 0.5686  1 P 2.57, 3 Ga 2.69-2.88
13 Ga 0.1368 0.1242 0.7416  6 Zr 2.80-2.94
14 Ga 0.1368 0.3758 0.2416  6 Zr 2.80-2.94
15 Ga 0.5000 0.0000 0.5000  6 Zr 2.65-2.71
16 Ga 0.5000 0.5000 0.0000  6 Zr 2.65-2.71
17 Ga 0.8632 0.6242 0.7584  6 Zr 2.80-2.94
18 Ga 0.8632 0.8758 0.2584  6 Zr 2.80-2.94
19 P 0.0000 0.0000 0.0000  6 Zr 2.51-2.58
20 P 0.0000 0.5000 0.5000  6 Zr 2.51-2.58

Computed properties:
DFT total energy = -7.142 eV/atom
space group = P2_1/c (14)



8.
First-principles (PBE) data for an optimized crystal structure of ZrGa3P, as listed in Alexandria.

Unit cell a=5.2314 b=5.2314 c=5.2314 alpha=90.00 beta=90.00 gamma=90.00
With the nearest neighbours (Å) after each atom.
Fractional positions:
1 Zr 0.0000 0.0000 0.0000  6 Ga 2.62
2 Ga 0.0000 0.0000 0.5000  2 Zr 2.62
3 Ga 0.0000 0.5000 0.0000  2 Zr 2.62
4 Ga 0.5000 0.0000 0.0000  2 Zr 2.62
5 P 0.5000 0.5000 0.5000  12 Ga 3.70

Computed properties:
distance to the lowest polymorph of the same formula = 2.762 eV/f.u.
DFT total energy = -3.642 eV/atom
space group = Pm-3m (221)